Record 1
LaN: relaxed, PBE.

CIF file:
```
data_LaN
_chemical_formula_sum 'La1 N1'
_space_group_name_H-M_alt 'P 1'
_space_group_IT_number 1
_space_group_name_Hall 'P 1'
_cell_length_a 3.169
_cell_length_b 3.169
_cell_length_c 3.169
_cell_angle_alpha 90.00
_cell_angle_beta 90.00
_cell_angle_gamma 90.00
loop_
_atom_site_label
_atom_site_fract_x
_atom_site_fract_y
_atom_site_fract_z
La1 0.000 0.000 0.000
N1 0.500 0.500 0.500
```

Its crystal system is cubic. The formation energy (no corrections) is -735 meV/atom. As for the total moment: 0.0000 μB per atom. The density of states at the Fermi level is 0.4 states/eV/f.u. Its space group is Pm-3m.

Record 2
PaTi2PbO8: relaxed, PBE.

CIF file:
```
data_PaTi2PbO8
_chemical_formula_sum 'Pa1 Ti2 Pb1 O8'
_space_group_name_H-M_alt 'P 1'
_space_group_IT_number 1
_space_group_name_Hall 'P 1'
_cell_length_a 5.914
_cell_length_b 5.914
_cell_length_c 7.131
_cell_angle_alpha 90.00
_cell_angle_beta 90.00
_cell_angle_gamma 120.00
loop_
_atom_site_label
_atom_site_fract_x
_atom_site_fract_y
_atom_site_fract_z
Pa1 0.000 0.000 0.000
Ti1 0.333 0.667 0.722
Ti2 0.667 0.333 0.278
Pb1 0.000 0.000 0.500
O1 0.161 0.322 0.801
O2 0.161 0.839 0.801
O3 0.322 0.161 0.199
O4 0.333 0.667 0.474
O5 0.667 0.333 0.526
O6 0.678 0.839 0.801
O7 0.839 0.161 0.199
O8 0.839 0.678 0.199
```

Its crystal system is trigonal. The formation energy (no corrections) is -2563 meV/atom. As for the total moment: 0.0869 μB per atom. The density of states at the Fermi level is 6.9 states/eV/f.u. Its space group is P-3m1.

Record 3
ZrSb2Te: relaxed, PBE.

CIF file:
```
data_ZrSb2Te
_chemical_formula_sum 'Zr1 Sb2 Te1'
_space_group_name_H-M_alt 'P 1'
_space_group_IT_number 1
_space_group_name_Hall 'P 1'
_cell_length_a 5.873
_cell_length_b 5.873
_cell_length_c 5.165
_cell_angle_alpha 98.16
_cell_angle_beta 98.16
_cell_angle_gamma 36.53
loop_
_atom_site_label
_atom_site_fract_x
_atom_site_fract_y
_atom_site_fract_z
Zr1 0.000 0.000 0.000
Sb1 0.281 0.281 0.786
Sb2 0.719 0.719 0.214
Te1 0.500 0.500 0.500
```

Its crystal system is monoclinic. The formation energy (no corrections) is -195 meV/atom. As for the total moment: 0.0000 μB per atom. The density of states at the Fermi level is 3.0 states/eV/f.u. Its space group is C2/m.

Record 4
TiNiH3: relaxed, PBE.

CIF file:
```
data_TiNiH3
_chemical_formula_sum 'Ti1 Ni1 H3'
_space_group_name_H-M_alt 'P 1'
_space_group_IT_number 1
_space_group_name_Hall 'P 1'
_cell_length_a 3.421
_cell_length_b 3.421
_cell_length_c 3.421
_cell_angle_alpha 90.00
_cell_angle_beta 90.00
_cell_angle_gamma 90.00
loop_
_atom_site_label
_atom_site_fract_x
_atom_site_fract_y
_atom_site_fract_z
Ti1 0.000 0.000 0.000
Ni1 0.500 0.500 0.500
H1 0.000 0.000 0.500
H2 0.000 0.500 0.000
H3 0.500 0.000 0.000
```

Its crystal system is cubic. Its uncorrected energy is -4.5782 eV per atom. As for the total moment: 0.0000 μB per atom. The density of states at the Fermi level is 2.4 states/eV/f.u. Its space group is Pm-3m.

Record 5
Nd5Tl2Cd: relaxed, PBE.

CIF file:
```
data_Nd5Tl2Cd
_chemical_formula_sum 'Nd5 Tl2 Cd1'
_space_group_name_H-M_alt 'P 1'
_space_group_IT_number 1
_space_group_name_Hall 'P 1'
_cell_length_a 6.874
_cell_length_b 6.874
_cell_length_c 6.874
_cell_angle_alpha 116.70
_cell_angle_beta 116.70
_cell_angle_gamma 95.82
loop_
_atom_site_label
_atom_site_fract_x
_atom_site_fract_y
_atom_site_fract_z
Nd1 0.000 0.000 0.000
Nd2 0.000 0.000 0.500
Nd3 0.000 0.500 0.000
Nd4 0.500 0.000 0.000
Nd5 0.500 0.500 0.500
Tl1 0.000 0.500 0.500
Tl2 0.500 0.000 0.500
Cd1 0.501 0.501 0.000
```

Its crystal system is tetragonal. As for the total moment: 0.0000 μB per atom. The density of states at the Fermi level is 8.2 states/eV/f.u. The value obtained for the energy of formation is -252 meV per atom. Its space group is I4mm.

Record 6
Tb4Tm3Ni2: relaxed, PBE.

CIF file:
```
data_Tb4Tm3Ni2
_chemical_formula_sum 'Tb4 Tm3 Ni2'
_space_group_name_H-M_alt 'P 1'
_space_group_IT_number 1
_space_group_name_Hall 'P 1'
_cell_length_a 8.404
_cell_length_b 8.404
_cell_length_c 8.939
_cell_angle_alpha 112.52
_cell_angle_beta 112.52
_cell_angle_gamma 24.54
loop_
_atom_site_label
_atom_site_fract_x
_atom_site_fract_y
_atom_site_fract_z
Tb1 0.132 0.132 0.391
Tb2 0.270 0.270 0.846
Tb3 0.730 0.730 0.154
Tb4 0.868 0.868 0.609
Tm1 0.430 0.430 0.311
Tm2 0.500 0.500 0.000
Tm3 0.570 0.570 0.689
Ni1 0.117 0.117 0.938
Ni2 0.883 0.883 0.062
```

Its crystal system is monoclinic. As for the total moment: 0.0000 μB per atom. The density of states at the Fermi level is 10.6 states/eV/f.u. The value obtained for the energy of formation is -180 meV per atom. Its space group is C2/m.

Record 7
AlIn4Ag15: relaxed, PBE.

CIF file:
```
data_AlIn4Ag15
_chemical_formula_sum 'Al1 In4 Ag15'
_space_group_name_H-M_alt 'P 1'
_space_group_IT_number 1
_space_group_name_Hall 'P 1'
_cell_length_a 4.184
_cell_length_b 4.184
_cell_length_c 21.283
_cell_angle_alpha 90.00
_cell_angle_beta 90.00
_cell_angle_gamma 90.00
loop_
_atom_site_label
_atom_site_fract_x
_atom_site_fract_y
_atom_site_fract_z
Al1 0.000 0.000 0.000
In1 0.000 0.000 0.196
In2 0.000 0.000 0.398
In3 0.000 0.000 0.602
In4 0.000 0.000 0.804
Ag1 0.000 0.500 0.093
Ag2 0.000 0.500 0.297
Ag3 0.000 0.500 0.500
Ag4 0.000 0.500 0.703
Ag5 0.000 0.500 0.907
Ag6 0.500 0.000 0.093
Ag7 0.500 0.000 0.297
Ag8 0.500 0.000 0.500
Ag9 0.500 0.000 0.703
Ag10 0.500 0.000 0.907
Ag11 0.500 0.500 0.000
Ag12 0.500 0.500 0.195
Ag13 0.500 0.500 0.399
Ag14 0.500 0.500 0.601
Ag15 0.500 0.500 0.805
```

Its crystal system is tetragonal. As for the total moment: 0.0000 μB per atom. The density of states at the Fermi level is 4.5 states/eV/f.u. The value obtained for the energy of formation is -26 meV per atom. Its space group is P4/mmm.

Among the records above, which one has the highest total moment?
PaTi2PbO8